Density functional theory data (GGA-PBE) for a relaxed structure of Ac4CoI2.

a b c (Å): 4.1770 7.6032 13.4182
angles (deg): 139.44 90.00 90.00
Atoms (fractional coordinates):
1 Ac 0.5000 0.4454 0.8348
2 Ac 0.0000 0.9107 0.7952
3 Ac 0.5000 0.5546 0.1652
4 Ac 0.0000 0.0893 0.2048
5 I 0.5000 0.2558 0.4969
6 I 0.5000 0.7442 0.5031
7 Co 0.0000 0.5000 0.0000

density of states at the Fermi level = 0.71 states/eV per atom
space-group type = No. 10
formation energy (no corrections) = -576.0 meV/atom
V = 39.58 Å³/atom
total moment = 0.0 μB/cell